(1)
Compound: Dy3Si2Pt6
Source: Alexandria
Functional: PBE
Structure: relaxed

## Properties
raw total energy	-6.5922	eV/atom

Geometry as POSCAR:
```
Dy3Si2Pt6
1.0
-4.695 4.695 4.695
4.695 -4.695 4.695
4.695 4.695 -4.695
Dy Si Pt
6 4 12
Direct
0.000 0.290 0.290 Dy
0.000 0.710 0.710 Dy
0.290 0.000 0.290 Dy
0.290 0.290 0.000 Dy
0.710 0.000 0.710 Dy
0.710 0.710 0.000 Dy
0.000 0.000 0.500 Si
0.000 0.500 0.000 Si
0.500 0.000 0.000 Si
0.500 0.500 0.500 Si
0.000 0.320 0.680 Pt
0.000 0.680 0.320 Pt
0.320 0.000 0.680 Pt
0.320 0.320 0.639 Pt
0.320 0.639 0.320 Pt
0.320 0.680 0.000 Pt
0.361 0.680 0.680 Pt
0.639 0.320 0.320 Pt
0.680 0.000 0.320 Pt
0.680 0.320 0.000 Pt
0.680 0.361 0.680 Pt
0.680 0.680 0.361 Pt
```


(2)
Compound: Dy3Si2Pt7
Source: Alexandria
Functional: PBE
Structure: relaxed

## Properties
raw total energy	-6.5673	eV/atom

Geometry as POSCAR:
```
Dy3Si2Pt7
1.0
2.056 -14.170 0.000
2.056 14.170 0.000
0.000 0.000 4.005
Dy Si Pt
3 2 7
Direct
0.000 0.000 0.000 Dy
0.202 0.798 0.000 Dy
0.798 0.202 0.000 Dy
0.417 0.583 0.500 Si
0.583 0.417 0.500 Si
0.127 0.873 0.500 Pt
0.288 0.712 0.500 Pt
0.371 0.629 0.000 Pt
0.500 0.500 0.500 Pt
0.629 0.371 0.000 Pt
0.712 0.288 0.500 Pt
0.873 0.127 0.500 Pt
```